DFT (PBE) results for a relaxed structure of MgGa2Te.

Results
Volume = 32.28 Å³/atom
Space group = I-42d, No. 122
E_form (uncorrected) = 0.0842 eV/atom
Excess energy over the best structure of this formula in the dataset = 35.1 meV per atom

Geometry as POSCAR:
```
MgGa2Te
1.0
-2.980 1.444 -5.870
4.432 -3.929 -3.217
-2.742 -5.697 -3.879
Mg Te Ga
2 2 4
Direct
0.500 0.500 0.000
0.250 0.750 0.500
0.000 0.000 0.000
0.750 0.250 0.500
0.620 0.125 0.250
0.130 0.625 0.250
0.375 0.380 0.750
0.875 0.870 0.750
```

---

DFT (PBE) results for a relaxed structure of CsBeHg2Pt.

Results
Volume = 25.47 Å³/atom
Space group = P4/mmm, No. 123
Excess energy over the best structure of this formula in the dataset = 179.5 meV per atom

Geometry as POSCAR:
```
CsBeHg2Pt
1.0
5.276 0.000 0.000
0.000 5.276 0.000
0.000 0.000 4.574
Cs Be Hg Pt
1 1 2 1
Direct
0.500 0.500 0.500
0.000 0.000 0.000
0.000 0.500 0.000
0.500 0.000 0.000
0.000 0.000 0.500
```

---

DFT (PBE) results for a relaxed structure of LaPaGeO6.

Results
Volume = 13.85 Å³/atom
Space group = P-31c, No. 163
E_form (uncorrected) = -2.7944 eV/atom

Geometry as POSCAR:
```
LaPaGeO6
1.0
5.548 0.000 0.000
-2.774 4.805 0.000
0.000 0.000 9.349
La Pa Ge O
2 2 2 12
Direct
0.333 0.667 0.250
0.667 0.333 0.750
0.000 0.000 0.000
0.000 0.000 0.500
0.667 0.333 0.250
0.333 0.667 0.750
0.705 0.639 0.130
0.934 0.295 0.130
0.295 0.934 0.630
0.066 0.705 0.870
0.361 0.295 0.370
0.934 0.639 0.370
0.639 0.934 0.870
0.705 0.066 0.370
0.066 0.361 0.630
0.361 0.066 0.130
0.639 0.705 0.630
0.295 0.361 0.870
```

---

DFT (PBE) results for a relaxed structure of Pm4Os2Br5.

Results
Volume = 34.27 Å³/atom
Space group = C2/m, No. 12
E_form (uncorrected) = -0.7037 eV/atom

Geometry as POSCAR:
```
Pm4Os2Br5
1.0
-1.390 3.320 1.737
-4.136 -4.558 5.402
10.388 -0.891 5.419
Pm Os Br
4 2 5
Direct
0.640 0.546 0.280
0.000 0.712 0.000
0.360 0.454 0.720
0.000 0.288 0.000
0.766 0.561 0.531
0.234 0.439 0.469
0.127 0.811 0.253
0.873 0.189 0.747
0.126 0.253 0.252
0.500 0.000 0.000
0.874 0.747 0.748
```

---

DFT (PBE) results for a relaxed structure of CaHoInPt.

Results
Volume = 23.73 Å³/atom
Space group = F-43m, No. 216
Total energy = -4.53 eV per atom

Geometry as POSCAR:
```
CaHoInPt
1.0
-3.457 0.255 -3.768
-1.725 -4.297 -2.186
-4.811 -1.542 0.831
Ca Ho Pt In
1 1 1 1
Direct
0.000 0.000 0.000
0.500 0.500 0.500
0.750 0.750 0.750
0.250 0.250 0.250
```

---

DFT (PBE) results for a relaxed structure of Mg6CdIr5.

Results
Volume = 15.82 Å³/atom
Space group = P2/m, No. 10
Total energy = -4.85 eV per atom

Geometry as POSCAR:
```
Mg6CdIr5
1.0
4.324 0.002 -0.909
-0.003 6.459 -0.001
-0.814 0.000 6.966
Mg Ir Cd
6 5 1
Direct
0.827 0.741 0.652
0.827 0.259 0.652
0.500 0.266 0.000
0.500 0.734 0.000
0.173 0.741 0.348
0.173 0.259 0.348
0.663 0.500 0.326
0.340 0.000 0.677
0.000 0.500 0.000
0.660 0.000 0.323
0.337 0.500 0.674
0.000 0.000 0.000
```

---

DFT (PBE) results for a relaxed structure of Ho2Er2Bi3.

Results
Volume = 32.66 Å³/atom
Space group = C2/m, No. 12
Total energy = -4.82 eV per atom

Geometry as POSCAR:
```
Ho2Er2Bi3
1.0
-0.197 0.154 4.410
-1.464 -6.956 -2.040
7.404 -0.475 0.346
Ho Er Bi
2 2 3
Direct
0.622 0.244 0.854
0.378 0.756 0.146
0.884 0.768 0.609
0.116 0.232 0.391
0.000 0.000 0.000
0.739 0.478 0.250
0.261 0.522 0.750
```

---

DFT (PBE) results for a relaxed structure of TaAgAs4.

Results
Volume = 18.96 Å³/atom
Space group = F-43m, No. 216
Total energy = -4.90 eV per atom

Geometry as POSCAR:
```
TaAgAs4
1.0
0.000 3.846 3.846
3.846 0.000 3.846
3.846 3.846 0.000
Ta Ag As
1 1 4
Direct
0.750 0.750 0.750
0.000 0.000 0.000
0.873 0.376 0.376
0.376 0.376 0.873
0.376 0.873 0.376
0.376 0.376 0.376
```